[1]
VASP calculation (PBE) on a geometry-optimized CeTmTeSe structure.

Output
Total magnetization in μB per atom: 0.363
Volume in Å³/f.u.: 110.7
ΔE_f (raw) in eV per formula unit: -5.750

a = 4.087 Å, b = 4.087 Å, c = 8.005 Å
α = 90.00°, β = 104.79°, γ = 119.99°
Last column: magnetic moment on the atom in μB.
Sites, in units of the cell vectors:
Ce 0.974 0.385 0.375  1.10
Se 0.483 0.139 0.637  -0.01
Te 0.124 0.960 0.099  -0.01
Tm 0.297 0.546 0.858  0.00


[2]
VASP calculation (PBE) on a geometry-optimized CeUTeSe2 structure.

Output
Total magnetization in μB per atom: 0.800
Volume in Å³/f.u.: 141.1
ΔE_f (raw) in eV per formula unit: -5.114

a = 4.571 Å, b = 4.571 Å, c = 7.488 Å
α = 107.77°, β = 107.77°, γ = 90.00°
Last column: magnetic moment on the atom in μB.
Sites, in units of the cell vectors:
U 0.122 0.122 0.244  2.69
Ce 0.880 0.880 0.761  1.04
Se 0.247 0.747 0.494  -0.08
Se 0.747 0.247 0.494  -0.08
Te 0.504 0.504 0.007  -0.07


[3]
VASP calculation (PBE) on a geometry-optimized Ce2Th3Se6 structure.

Output
Total magnetization in μB per atom: 0.165
Volume in Å³/f.u.: 308.2
ΔE_f (raw) in eV per formula unit: -18.740

a = 7.198 Å, b = 7.229 Å, c = 7.246 Å
α = 80.41°, β = 70.46°, γ = 60.14°
Last column: magnetic moment on the atom in μB.
Sites, in units of the cell vectors:
Se 0.743 0.000 0.741  -0.01
Se 0.580 0.324 0.258  -0.01
Se 0.904 0.676 0.258  -0.01
Se 0.420 0.676 0.742  -0.01
Se 0.096 0.324 0.742  -0.01
Se 0.257 0.000 0.259  -0.01
Th 0.000 0.000 0.000  0.03
Th 0.667 0.667 0.000  0.03
Th 0.333 0.333 0.000  0.03
Ce 0.166 0.668 0.500  0.71
Ce 0.834 0.332 0.500  0.71


[4]
VASP calculation (PBE) on a geometry-optimized CeThSe4 structure.

Output
Total magnetization in μB per atom: 0.000
Volume in Å³/f.u.: 167.9
ΔE_f (raw) in eV per formula unit: -10.001
ΔE to the lowest computed polymorph in meV per atom: 0

a = 4.919 Å, b = 4.919 Å, c = 6.941 Å
α = 90.08°, β = 90.08°, γ = 89.99°
Sites, in units of the cell vectors:
Se 0.000 0.500 0.748
Se 0.500 0.000 0.252
Se 0.000 0.500 0.252
Se 0.500 0.000 0.748
Th 0.000 0.000 0.000
Ce 0.500 0.500 0.500